DyGaIr | Alexandria via LeMat-Bulk | PBE | relaxed; symmetry = I4mm; energy of formation from the pure elements = -0.599 eV per atom
1.0
3.220 0.000 0.000
0.000 3.220 0.000
-1.610 -1.610 5.449
Ir Ga Dy
1 1 1
Cartesian
1.610 1.610 4.711
0.000 0.000 3.380
1.610 1.610 1.172

LaHoPdSe3 | Alexandria via LeMat-Bulk | PBE | relaxed; symmetry = P2_1/m; raw total energy = -70.02 eV per cell
1.0
-1.977 0.065 3.535
-0.954 -7.846 -0.390
8.208 0.989 4.572
La Ho Pd Se
2 2 2 6
Cartesian
1.626 -1.304 2.094
3.652 -5.488 5.624
0.286 -5.190 1.415
4.992 -1.602 6.302
4.329 -0.127 3.583
0.949 -6.665 4.134
-1.258 -7.084 2.907
6.536 0.292 4.810
2.723 -5.169 2.778
2.555 -1.623 4.940
-0.682 -3.093 3.157
5.959 -3.699 4.560

TbBi2Pd7 | Alexandria via LeMat-Bulk | PBE | relaxed; energy above the lowest structure with this stoichiometry = 0.2759 eV per atom; symmetry = Cmmm; energy of formation from the pure elements = -0.180 eV per atom
1.0
-0.850 -3.623 -1.926
7.875 -0.784 -1.999
-3.445 -2.828 6.839
Tb Bi Pd
1 2 7
Cartesian
0.000 0.000 0.000
3.943 -3.229 -0.224
-0.363 -4.006 3.138
5.656 -1.185 -0.267
-1.226 -2.428 5.106
-0.746 -2.676 0.805
4.326 -4.559 2.108
1.516 -2.268 -0.961
2.064 -4.967 3.874
1.790 -3.618 1.457

KZnCoC2 | Alexandria via LeMat-Bulk | PBE | relaxed; symmetry = P4/mmm; energy of formation from the pure elements = 3.725 eV per atom
1.0
-2.054 3.842 -0.440
-4.399 -2.204 1.290
0.784 0.902 4.212
C Zn Co K
2 1 1 1
Cartesian
0.392 0.451 2.106
-1.027 1.921 -0.220
-2.200 -1.102 0.645
-2.835 1.270 2.531
0.000 0.000 0.000

MgOs2Se | Alexandria via LeMat-Bulk | PBE | relaxed; energy above the lowest structure with this stoichiometry = 0.0000 eV per atom; symmetry = Pm
1.0
-2.801 0.620 -0.404
0.018 -1.522 -2.461
-2.048 -7.396 2.843
Mg Os Se
1 2 1
Cartesian
-2.978 -6.457 0.340
-0.034 -0.209 -0.084
-1.836 -1.981 -0.702
-0.999 -4.108 0.615

Pu4SnAu5 | Alexandria via LeMat-Bulk | PBE | relaxed; symmetry = P4/mmm; energy of formation from the pure elements = -0.355 eV per atom
1.0
-0.081 -0.514 -3.510
2.393 -2.600 0.326
-13.851 -12.478 2.147
Pu Sn Au
4 1 5
Cartesian
-2.661 -2.397 0.412
-8.339 -7.513 1.293
-5.511 -4.965 0.854
-11.190 -10.081 1.734
0.000 0.000 0.000
-0.157 -2.739 -1.389
-2.945 -5.252 -0.957
-5.770 -7.796 -0.519
-8.594 -10.340 -0.081
-11.383 -12.853 0.351

Y2Sc2Ru3 | Alexandria via LeMat-Bulk | PBE | relaxed; symmetry = R-3m; energy of formation from the pure elements = -0.335 eV per atom
1.0
-3.332 1.019 -3.036
-1.086 -0.934 4.395
3.276 7.201 2.339
Y Sc Ru
2 2 3
Cartesian
0.254 2.777 0.653
-1.395 4.509 3.044
-2.505 1.228 -0.356
1.363 6.058 4.054
0.000 0.000 0.000
0.534 5.822 1.367
-1.675 1.464 2.330

Ho4CuRh | Alexandria via LeMat-Bulk | PBE | relaxed; energy above the lowest structure with this stoichiometry = 0.0000 eV per atom; symmetry = F-43m; energy of formation from the pure elements = -0.407 eV per atom
1.0
-3.418 -5.468 -6.767
5.390 -6.595 -3.849
-1.721 -9.027 1.708
Ho Cu Rh
16 4 4
Cartesian
0.098 -8.228 -3.475
-1.404 -10.631 -6.449
2.467 -11.126 -5.167
-0.659 -12.195 -2.725
-0.510 -15.244 -4.351
0.886 -16.392 -9.011
2.179 -14.324 -6.452
-1.802 -17.311 -6.910
-1.152 -13.898 -7.556
1.528 -17.737 -5.807
-1.037 -9.590 -0.577
1.287 -11.500 -8.331
3.438 -8.060 -4.073
-3.187 -13.030 -4.835
-2.104 -7.350 -5.909
2.355 -13.740 -2.999
0.042 -3.572 -1.509
-1.060 -5.336 -3.691
1.781 -5.699 -2.750
-0.513 -6.484 -0.958
0.152 -12.744 -5.383
1.577 -10.464 -2.561
-2.096 -9.993 -3.778
0.869 -8.979 -6.095